{"formula": "Nd2HoEr8", "functional": "GGA-PBE", "state": "optimized geometry", "magnetic_moment_mub_per_fu": 0.0, "dft_energy_ev_per_cell": -48.849, "delta_e_f_mev_per_atom": 161, "spacegroup": "C2/m, No. 12", "crystal_system": "monoclinic", "e_above_lowest_polymorph_mev_per_atom": 0, "dos_ef_per_ev_atom": 1.314, "lattice_angstrom": [[5.625, 1.644, 0.000], [2.592, 8.624, 0.000], [1.296, 4.312, 7.972]], "species": ["Er", "Er", "Er", "Er", "Er", "Er", "Er", "Er", "Nd", "Nd", "Ho"], "fractional_positions": [[0.827, 0.329, 0.769], [0.297, 0.429, 0.000], [0.500, 0.207, 0.585], [0.173, 0.671, 0.231], [0.703, 0.571, 0.000], [0.827, 0.098, 0.231], [0.173, 0.902, 0.769], [0.500, 0.793, 0.415], [0.000, 0.307, 0.387], [0.000, 0.693, 0.613], [0.500, 0.000, 0.000]]}